Record 1
SbTe2N2 PBE relaxed; space group = P4/mmm (123)
1.0
-2.604 0.756 3.142
-0.541 -4.080 0.533
5.368 -0.127 4.480
Sb Te N
1 2 2
direct
0.000 0.000 0.000
0.500 0.500 0.500
0.000 0.000 0.500
0.000 0.500 0.000
0.500 0.000 0.000

Record 2
SbTeN2 PBE relaxed; space group = R-3m (166)
1.0
-6.218 -3.208 -1.300
-3.967 -5.602 -1.878
-4.953 -4.957 1.243
Sb Te N
1 1 2
direct
0.500 0.500 0.500
0.000 0.000 0.000
0.887 0.887 0.887
0.113 0.113 0.113

Record 3
SbTeN PBE relaxed; space group = P4/nmm (129)
1.0
-0.562 -3.912 0.023
3.770 -0.536 1.057
-2.583 0.426 9.426
Sb Te N
2 2 2
direct
0.500 0.000 0.104
0.000 0.500 0.896
0.500 0.000 0.552
0.000 0.500 0.448
0.500 0.500 0.000
0.000 0.000 0.000

Record 4
SbTeN2 PBE relaxed; space group = I-42d (122)
1.0
5.743 0.000 0.000
0.000 5.743 0.000
2.872 2.872 4.473
Sb Te N
2 2 4
direct
0.500 0.500 0.000
0.250 0.750 0.500
0.000 0.000 0.000
0.750 0.250 0.500
0.566 0.125 0.250
0.184 0.625 0.250
0.375 0.434 0.750
0.875 0.816 0.750

Number 1: formation energy (no corrections) 119.3 kJ per mole of atoms. Number 2: formation energy (no corrections) 59.0 kJ per mole of atoms. Number 3: formation energy (no corrections) 30.3 kJ per mole of atoms. Number 4: formation energy (no corrections) 101.8 kJ per mole of atoms.